[1]
The following is a GGA-PBE calculation of a relaxed ZnSIO2 crystal, from the Alexandria database.

Lattice parameters (Å, degrees): 3.7560 3.7560 7.2054 90.00 90.00 90.00
Last column: nearest neighbours and their distance in Å.
Fractional coordinates of all 5 atoms:
1 Zn 0.0000 0.0000 0.0000  4 I 2.66
2 S 0.5000 0.5000 0.5000  4 O 1.88
3 I 0.5000 0.5000 0.0000  4 Zn 2.66
4 O 0.0000 0.5000 0.5000  2 S 1.88
5 O 0.5000 0.0000 0.5000  2 S 1.88

## Properties
Theoretical density, Mg/m³: 4.19
SG: No. 123
Formation energy (no corrections), eV per atom: 0.158



[2]
The following is a GGA-PBE calculation of a relaxed ZrSIO2 crystal, from the Alexandria database.

Lattice parameters (Å, degrees): 4.0517 4.0517 6.6386 90.00 90.00 90.00
Last column: nearest neighbours and their distance in Å.
Fractional coordinates of all 5 atoms:
1 Zr 0.0000 0.0000 0.0000  4 O 2.03
2 S 0.5000 0.5000 0.5000  4 I 2.86
3 I 0.0000 0.0000 0.5000  4 S 2.86
4 O 0.0000 0.5000 0.0000  2 Zr 2.03
5 O 0.5000 0.0000 0.0000  2 Zr 2.03

## Properties
Theoretical density, Mg/m³: 4.30
SG: No. 123
Formation energy (no corrections), eV per atom: -1.235



[3]
The following is a GGA-PBE calculation of a relaxed ZrSIO2 crystal, from the Alexandria database.

Lattice parameters (Å, degrees): 3.9603 3.9603 5.5103 90.00 90.00 90.00
Last column: nearest neighbours and their distance in Å.
Fractional coordinates of all 5 atoms:
1 Zr 0.0000 0.0000 0.0000  4 I 2.80
2 S 0.5000 0.5000 0.5000  4 O 1.98
3 I 0.5000 0.5000 0.0000  2 S 2.76, 4 Zr 2.80
4 O 0.0000 0.5000 0.5000  2 S 1.98
5 O 0.5000 0.0000 0.5000  2 S 1.98

## Properties
Theoretical density, Mg/m³: 5.42
SG: No. 123
Formation energy (no corrections), eV per atom: 0.288



[4]
The following is a GGA-PBE calculation of a relaxed Zr2SIO crystal, from the Alexandria database.

Lattice parameters (Å, degrees): 4.8249 4.8249 5.2376 90.00 90.00 90.00
Last column: nearest neighbours and their distance in Å.
Fractional coordinates of all 5 atoms:
1 Zr 0.0000 0.5000 0.0000  2 S 2.41
2 Zr 0.5000 0.0000 0.0000  2 S 2.41
3 S 0.0000 0.0000 0.0000  4 Zr 2.41, 2 I 2.62
4 I 0.0000 0.0000 0.5000  2 S 2.62
5 O 0.5000 0.5000 0.5000  4 I 3.41, 8 Zr 3.56

## Properties
Theoretical density, Mg/m³: 4.87
SG: No. 123
Formation energy (no corrections), eV per atom: 0.447



Please write out number 3 again, unchanged.
The following is a GGA-PBE calculation of a relaxed ZrSIO2 crystal, from the Alexandria database.

Lattice parameters (Å, degrees): 3.9603 3.9603 5.5103 90.00 90.00 90.00
Last column: nearest neighbours and their distance in Å.
Fractional coordinates of all 5 atoms:
1 Zr 0.0000 0.0000 0.0000  4 I 2.80
2 S 0.5000 0.5000 0.5000  4 O 1.98
3 I 0.5000 0.5000 0.0000  2 S 2.76, 4 Zr 2.80
4 O 0.0000 0.5000 0.5000  2 S 1.98
5 O 0.5000 0.0000 0.5000  2 S 1.98

## Properties
Theoretical density, Mg/m³: 5.42
SG: No. 123
Formation energy (no corrections), eV per atom: 0.288